P:
First-principles (PBE) data for crystalline Mn2CrNi2 at its relaxed geometry, as listed in the Alexandria database.

```
Mn2CrNi2
1.0
6.810 0.000 0.000
0.000 6.810 0.000
0.000 0.000 2.437
Mn Cr Ni
4 2 4
Direct
0.176 0.324 0.000 Mn
0.324 0.824 0.000 Mn
0.676 0.176 0.000 Mn
0.824 0.676 0.000 Mn
0.000 0.000 0.500 Cr
0.500 0.500 0.500 Cr
0.122 0.622 0.500 Ni
0.378 0.122 0.500 Ni
0.622 0.878 0.500 Ni
0.878 0.378 0.500 Ni
```

Properties
SG: P4/mbm (127)



Q:
First-principles (PBE) data for crystalline Mn2CrNi2 at its relaxed geometry, as listed in the Alexandria database.

```
Mn2CrNi2
1.0
6.844 0.000 0.000
0.000 6.844 0.000
0.000 0.000 2.492
Mn Cr Ni
4 2 4
Direct
0.120 0.380 0.000 Mn
0.380 0.880 0.000 Mn
0.620 0.120 0.000 Mn
0.880 0.620 0.000 Mn
0.000 0.000 0.000 Cr
0.500 0.500 0.000 Cr
0.177 0.677 0.500 Ni
0.323 0.177 0.500 Ni
0.677 0.823 0.500 Ni
0.823 0.323 0.500 Ni
```

Properties
SG: P4/mbm (127)



Stability verdict: Q, ahead by 6 meV/atom



P:
First-principles (PBE) data for crystalline Mn3CrNi at its relaxed geometry, as listed in the Alexandria database.

```
Mn3CrNi
1.0
4.401 0.000 0.000
0.000 4.401 0.000
0.000 0.000 4.401
Mn Cr Ni
3 1 1
Direct
0.000 0.000 0.500 Mn
0.000 0.500 0.000 Mn
0.500 0.000 0.000 Mn
0.500 0.500 0.500 Cr
0.000 0.000 0.000 Ni
```

Properties
SG: Pm-3m (221)



Q:
First-principles (PBE) data for crystalline Mn3CrNi at its relaxed geometry, as listed in the Alexandria database.

```
Mn3CrNi
1.0
4.271 0.000 0.000
0.000 4.271 0.000
0.000 0.000 4.271
Mn Cr Ni
3 1 1
Direct
0.000 0.000 0.500 Mn
0.000 0.500 0.000 Mn
0.500 0.000 0.000 Mn
0.000 0.000 0.000 Cr
0.500 0.500 0.500 Ni
```

Properties
SG: Pm-3m (221)



Stability verdict: Q, ahead by 228 meV/atom



P:
First-principles (PBE) data for crystalline MnCr3Ni at its relaxed geometry, as listed in the Alexandria database.

```
MnCr3Ni
1.0
4.133 0.000 0.000
0.000 4.133 0.000
0.000 0.000 4.133
Mn Cr Ni
1 3 1
Direct
0.000 0.000 0.000 Mn
0.000 0.000 0.500 Cr
0.000 0.500 0.000 Cr
0.500 0.000 0.000 Cr
0.500 0.500 0.500 Ni
```

Properties
SG: Pm-3m (221)



Q:
First-principles (PBE) data for crystalline MnCr3Ni at its relaxed geometry, as listed in the Alexandria database.

```
MnCr3Ni
1.0
4.216 0.000 0.000
0.000 4.216 0.000
0.000 0.000 4.216
Mn Cr Ni
1 3 1
Direct
0.000 0.000 0.000 Mn
0.000 0.500 0.500 Cr
0.500 0.000 0.500 Cr
0.500 0.500 0.000 Cr
0.500 0.500 0.500 Ni
```

Properties
SG: Pm-3m (221)



Stability verdict: P, ahead by 420 meV/atom